[1]
The following is a PBE calculation of an optimized crystal structure of FeAs2Cl, from Alexandria.

Calculated values
* space-group type: P4/mmm, No. 123
* formation energy from raw total energies: 0.050 eV per atom
* polymorph energy (0 for the lowest one): 182 meV per atom
* crystal system: tetragonal

abc: 3.029 3.031 7.517
angles: 90.00 90.00 90.00
Site moments in Bohr magnetons follow the coordinates.
Fractional coordinates of all 4 atoms:
As 0.000 0.000 0.935  -0.03
Cl 0.500 0.500 0.250  0.02
As 0.000 0.000 0.565  -0.03
Fe 0.500 0.500 0.750  1.25

[2]
The following is a PBE calculation of an optimized crystal structure of ZrTi3Tc, from Alexandria.

Calculated values
* DFT formation energy: 1.467 eV per atom
* space-group type: Pm-3m, No. 221
* polymorph energy (0 for the lowest one): 1505 meV per atom
* crystal system: cubic

abc: 4.646 4.646 4.646
angles: 90.00 90.00 90.00
Fractional coordinates of all 5 atoms:
Tc 0.500 0.500 0.500
Ti 0.500 0.000 0.000
Zr 0.000 0.000 0.000
Ti 0.000 0.000 0.500
Ti 0.000 0.500 0.000

[3]
The following is a PBE calculation of an optimized crystal structure of LaH2Ir, from Alexandria.

Calculated values
* space-group type: I4_1/amd, No. 141
* polymorph energy (0 for the lowest one): 107 meV per atom
* crystal system: tetragonal

abc: 4.321 4.321 6.592
angles: 70.87 70.87 90.00
Fractional coordinates of all 8 atoms:
La 0.250 0.750 0.500
H 0.875 0.125 0.250
La 0.500 0.500 0.000
H 0.875 0.625 0.250
H 0.875 0.125 0.750
Ir 0.750 0.250 0.500
Ir 0.000 0.000 0.000
H 0.375 0.125 0.750

[4]
The following is a PBE calculation of an optimized crystal structure of Er3InGa2, from Alexandria.

Calculated values
* DFT formation energy: -0.528 eV per atom
* space-group type: P4/mmm, No. 123
* crystal system: tetragonal

abc: 3.545 3.545 11.209
angles: 90.00 90.00 90.00
Fractional coordinates of all 6 atoms:
In 0.500 0.500 0.500
Er 0.000 0.000 0.682
Er 0.000 0.000 0.000
Ga 0.500 0.500 0.160
Ga 0.500 0.500 0.840
Er 0.000 0.000 0.318

[5]
The following is a PBE calculation of an optimized crystal structure of Ce4C2Se3, from Alexandria.

Calculated values
* space-group type: C2/c, No. 15
* formation energy from raw total energies: -1.128 eV per atom
* crystal system: monoclinic

abc: 6.371 8.287 8.287
angles: 75.10 90.92 90.92
Site moments in Bohr magnetons follow the coordinates.
Fractional coordinates of all 18 atoms:
Ce 0.031 0.697 0.056  0.53
Se 0.472 0.243 0.985  -0.02
Ce 0.969 0.303 0.944  0.53
C 0.413 0.168 0.420  -0.04
Ce 0.435 0.585 0.744  0.45
Ce 0.531 0.056 0.697  0.53
Ce 0.469 0.944 0.303  0.53
C 0.587 0.832 0.580  -0.04
C 0.087 0.580 0.832  -0.04
Se 0.972 0.985 0.243  -0.02
Ce 0.065 0.256 0.415  0.45
Ce 0.935 0.744 0.585  0.45
C 0.913 0.420 0.168  -0.04
Ce 0.565 0.415 0.256  0.45
Se 0.750 0.403 0.597  -0.02
Se 0.250 0.597 0.403  -0.02
Se 0.028 0.015 0.757  -0.02
Se 0.528 0.757 0.015  -0.02

[6]
The following is a PBE calculation of an optimized crystal structure of CaBePt2, from Alexandria.

Calculated values
* DFT formation energy: -0.672 eV per atom
* space-group type: Pmmm, No. 47
* crystal system: orthorhombic

abc: 2.942 2.952 7.786
angles: 67.75 90.00 90.00
Fractional coordinates of all 4 atoms:
Ca 0.500 0.750 0.750
Pt 0.000 0.555 0.444
Be 0.500 0.250 0.250
Pt 0.000 0.945 0.056

| no. | calculated volume (Å³ per atom) |
| --- | --- |
| 1 | 17.26 |
| 2 | 20.05 |
| 3 | 13.64 |
| 4 | 23.48 |
| 5 | 23.48 |
| 6 | 15.65 |